Arrangement i

VASP calculation (PBE-GGA) on a relaxed TlAg3F6 crystal.

Calculated values
**DOS at the Fermi energy**: 0.45 states/eV per atom

a b c (Å): 6.0373 6.1819 10.6095
angles (deg): 90.00 123.36 90.00
Element x y z (fractional)
Tl (0.0000, 0.0000, 0.0000)
Tl (0.0000, 0.5000, 0.5000)
Ag (0.2833, 0.0623, 0.7595)
Ag (0.2833, 0.4377, 0.2595)
Ag (0.5000, 0.0000, 0.5000)
Ag (0.5000, 0.5000, 0.0000)
Ag (0.7167, 0.5623, 0.7405)
Ag (0.7167, 0.9377, 0.2405)
F (0.0930, 0.0742, 0.2293)
F (0.0930, 0.4258, 0.7293)
F (0.2604, 0.7105, 0.0856)
F (0.2604, 0.7895, 0.5856)
F (0.3602, 0.1866, 0.0610)
F (0.3602, 0.3134, 0.5610)
F (0.6398, 0.6866, 0.4390)
F (0.6398, 0.8134, 0.9390)
F (0.7396, 0.2105, 0.4144)
F (0.7396, 0.2895, 0.9144)
F (0.9070, 0.5742, 0.2707)
F (0.9070, 0.9258, 0.7707)


Arrangement ii

VASP calculation (PBE-GGA) on a relaxed TlAg3F6 crystal.

Calculated values
**DOS at the Fermi energy**: 0.55 states/eV per atom

a b c (Å): 6.9212 6.9212 3.9146
angles (deg): 90.00 90.00 114.16
Element x y z (fractional)
Tl (0.0000, 0.0000, 0.0000)
Ag (0.0000, 0.5000, 0.5000)
Ag (0.5000, 0.0000, 0.5000)
Ag (0.5000, 0.5000, 0.0000)
F (0.1122, 0.8878, 0.5000)
F (0.1318, 0.3664, 0.0000)
F (0.3664, 0.1318, 0.0000)
F (0.6336, 0.8682, 0.0000)
F (0.8682, 0.6336, 0.0000)
F (0.8878, 0.1122, 0.5000)


Calculated relative energies: arrangement i 0; arrangement ii 51, given in meV/atom


Arrangement i

VASP calculation (PBE-GGA) on a relaxed TlAg2F8 crystal.

Calculated values
**DOS at the Fermi energy**: 0.38 states/eV per atom

a b c (Å): 7.2195 7.2195 4.1178
angles (deg): 98.42 98.42 64.51
Element x y z (fractional)
Tl (0.0000, 0.0000, 0.0000)
Ag (0.2618, 0.2618, 0.8109)
Ag (0.7382, 0.7382, 0.1891)
F (0.0687, 0.7283, 0.2287)
F (0.2431, 0.2431, 0.3055)
F (0.2717, 0.9313, 0.7713)
F (0.4264, 0.4264, 0.8649)
F (0.5736, 0.5736, 0.1351)
F (0.7283, 0.0687, 0.2287)
F (0.7569, 0.7569, 0.6945)
F (0.9313, 0.2717, 0.7713)


Arrangement ii

VASP calculation (PBE-GGA) on a relaxed TlAg2F8 crystal.

Calculated values
**DOS at the Fermi energy**: 0.40 states/eV per atom

a b c (Å): 6.6264 6.6264 6.6264
angles (deg): 129.47 129.47 74.25
Element x y z (fractional)
Tl (0.0000, 0.0000, 0.0000)
Ag (0.2500, 0.7500, 0.5000)
Ag (0.7500, 0.2500, 0.5000)
F (0.0528, 0.5834, 0.8724)
F (0.1804, 0.0528, 0.4694)
F (0.2890, 0.4166, 0.4694)
F (0.4166, 0.9472, 0.1276)
F (0.5834, 0.7110, 0.5306)
F (0.7110, 0.1804, 0.1276)
F (0.8196, 0.2890, 0.8724)
F (0.9472, 0.8196, 0.5306)


Calculated relative energies: arrangement i 178; arrangement ii 0, given in meV/atom


Arrangement i

VASP calculation (PBE-GGA) on a relaxed TlAg3F8 crystal.

Calculated values
**DOS at the Fermi energy**: 0.50 states/eV per atom

a b c (Å): 6.3328 6.3328 6.9029
angles (deg): 90.00 90.00 127.49
Element x y z (fractional)
Tl (0.0000, 0.0000, 0.0000)
Ag (0.0000, 0.0000, 0.5000)
Ag (0.0000, 0.5000, 0.2528)
Ag (0.5000, 0.0000, 0.7472)
F (0.1888, 0.8112, 0.5000)
F (0.2024, 0.7976, 0.0000)
F (0.2190, 0.2839, 0.2337)
F (0.2839, 0.2190, 0.7663)
F (0.7161, 0.7810, 0.7663)
F (0.7810, 0.7161, 0.2337)
F (0.7976, 0.2024, 0.0000)
F (0.8112, 0.1888, 0.5000)


Arrangement ii

VASP calculation (PBE-GGA) on a relaxed TlAg3F8 crystal.

Calculated values
**DOS at the Fermi energy**: 0.82 states/eV per atom

a b c (Å): 6.4617 6.4617 6.5370
angles (deg): 90.00 90.00 120.00
Element x y z (fractional)
Tl (0.0000, 0.0000, 0.0000)
Ag (0.0000, 0.0000, 0.5000)
Ag (0.3333, 0.6667, 0.3300)
Ag (0.6667, 0.3333, 0.6700)
F (0.1441, 0.2882, 0.2292)
F (0.1441, 0.8559, 0.2292)
F (0.2882, 0.1441, 0.7708)
F (0.3333, 0.6667, 0.6408)
F (0.6667, 0.3333, 0.3592)
F (0.7118, 0.8559, 0.2292)
F (0.8559, 0.1441, 0.7708)
F (0.8559, 0.7118, 0.7708)


Calculated relative energies: arrangement i 0; arrangement ii 169, given in meV/atom


Arrangement i

VASP calculation (PBE-GGA) on a relaxed Tl2Ag2F crystal.

Calculated values
**DOS at the Fermi energy**: 0.20 states/eV per atom

a b c (Å): 7.3998 7.3998 4.3126
angles (deg): 90.00 90.00 90.00
Element x y z (fractional)
Tl (0.1859, 0.3141, 0.0000)
Tl (0.3141, 0.8141, 0.0000)
Tl (0.6859, 0.1859, 0.0000)
Tl (0.8141, 0.6859, 0.0000)
Ag (0.1289, 0.6289, 0.5000)
Ag (0.3711, 0.1289, 0.5000)
Ag (0.6289, 0.8711, 0.5000)
Ag (0.8711, 0.3711, 0.5000)
F (0.0000, 0.0000, 0.0000)
F (0.5000, 0.5000, 0.0000)


Arrangement ii

VASP calculation (PBE-GGA) on a relaxed Tl2Ag2F crystal.

Calculated values
**DOS at the Fermi energy**: 0.20 states/eV per atom

a b c (Å): 3.8281 3.8281 16.5933
angles (deg): 90.00 90.00 90.00
Element x y z (fractional)
Tl (0.0000, 0.0000, 0.0932)
Tl (0.0000, 0.0000, 0.9068)
Tl (0.5000, 0.5000, 0.4068)
Tl (0.5000, 0.5000, 0.5932)
Ag (0.0000, 0.5000, 0.2500)
Ag (0.0000, 0.5000, 0.7500)
Ag (0.5000, 0.0000, 0.2500)
Ag (0.5000, 0.0000, 0.7500)
F (0.0000, 0.0000, 0.5000)
F (0.5000, 0.5000, 0.0000)


Calculated relative energies: arrangement i 67; arrangement ii 0, given in meV/atom


Arrangement i

VASP calculation (PBE-GGA) on a relaxed TlAgF4 crystal.

Calculated values
**DOS at the Fermi energy**: 0.56 states/eV per atom

a b c (Å): 5.9137 5.4849 5.4806
angles (deg): 90.00 90.46 90.00
Element x y z (fractional)
Tl (0.0000, 0.0000, 0.0000)
Tl (0.0000, 0.5000, 0.5000)
Ag (0.5000, 0.0000, 0.5000)
Ag (0.5000, 0.5000, 0.0000)
F (0.2200, 0.2359, 0.7370)
F (0.2200, 0.2641, 0.2370)
F (0.2215, 0.7369, 0.7569)
F (0.2215, 0.7631, 0.2569)
F (0.7785, 0.2369, 0.7431)
F (0.7785, 0.2631, 0.2431)
F (0.7800, 0.7359, 0.7630)
F (0.7800, 0.7641, 0.2630)


Arrangement ii

VASP calculation (PBE-GGA) on a relaxed TlAgF4 crystal.

Calculated values
**DOS at the Fermi energy**: 0.57 states/eV per atom

a b c (Å): 6.1032 5.3537 6.3451
angles (deg): 90.00 90.00 90.00
Element x y z (fractional)
Tl (0.0000, 0.0000, 0.0000)
Tl (0.0000, 0.5000, 0.5000)
Ag (0.5000, 0.0000, 0.6666)
Ag (0.5000, 0.5000, 0.1666)
F (0.1487, 0.2446, 0.7403)
F (0.1487, 0.2554, 0.2403)
F (0.2988, 0.7076, 0.4640)
F (0.2988, 0.7924, 0.9640)
F (0.7012, 0.2076, 0.9640)
F (0.7012, 0.2924, 0.4640)
F (0.8513, 0.7446, 0.2403)
F (0.8513, 0.7554, 0.7403)


Calculated relative energies: arrangement i 25; arrangement ii 0, given in meV/atom